[1]
CeTm4Sc after structural relaxation, computed with PBE-GGA.

Unit cell a=12.137 b=5.523 c=10.505 alpha=90.00 beta=90.00 gamma=90.00
Fractional coordinates of all 24 atoms:
Ce 0.209 0.250 0.083
Ce 0.291 0.750 0.583
Ce 0.709 0.250 0.417
Ce 0.791 0.750 0.917
Tm 0.042 0.750 0.747
Tm 0.043 0.750 0.083
Tm 0.205 0.250 0.420
Tm 0.211 0.250 0.751
Tm 0.289 0.750 0.251
Tm 0.295 0.750 0.920
Tm 0.457 0.250 0.583
Tm 0.458 0.250 0.247
Tm 0.542 0.750 0.753
Tm 0.543 0.750 0.417
Tm 0.705 0.250 0.080
Tm 0.711 0.250 0.749
Tm 0.789 0.750 0.249
Tm 0.795 0.750 0.580
Tm 0.957 0.250 0.917
Tm 0.958 0.250 0.253
Sc 0.042 0.750 0.420
Sc 0.458 0.250 0.920
Sc 0.542 0.750 0.080
Sc 0.958 0.250 0.580

Output
Energy of formation (eV/atom): 0.0512
Magnetization (μB/atom): 0.13
Density (kg/m3): 8120
Polymorph energy (0 for the lowest one) (kcal/mol of atoms): 0.00
SG: Pnma

[2]
LaBe2Sb after structural relaxation, computed with PBE-GGA.

Unit cell a=6.236 b=6.236 c=6.236 alpha=144.15 beta=143.56 gamma=52.05
Fractional coordinates of all 4 atoms:
La 0.000 0.000 0.000
Be 0.617 0.617 0.000
Be 0.708 0.208 0.500
Sb 0.257 0.757 0.500

Output
Formation energy from raw total energies (eV per atom): -0.09
Magnetization (μB/atom): 0.00
Density (kg/m3): 5518
Polymorph energy (0 for the lowest one) (kcal/mol of atoms): 3.10
SG: Imm2

[3]
KFe2Au after structural relaxation, computed with PBE-GGA.

Unit cell a=2.764 b=4.190 c=7.356 alpha=90.00 beta=90.00 gamma=90.00
Fractional coordinates of all 4 atoms:
K 0.000 0.000 0.000
Fe 0.500 0.500 0.345
Fe 0.500 0.500 0.655
Au 0.000 0.000 0.500

Output
Energy of formation (eV/atom): 0.6143
Magnetization (μB/atom): 1.42
Density (kg/m3): 6780
SG: Pmmm

[4]
RbCoN3 after structural relaxation, computed with PBE-GGA.

Unit cell a=3.874 b=3.874 c=3.874 alpha=90.00 beta=90.00 gamma=90.00
Fractional coordinates of all 5 atoms:
Rb 0.000 0.000 0.000
Co 0.500 0.500 0.500
N 0.000 0.500 0.500
N 0.500 0.000 0.500
N 0.500 0.500 0.000

Output
Formation energy from raw total energies (eV per atom): 1.60
Magnetization (μB/atom): 0.00
Density (kg/m3): 5326
SG: Pm-3m

[5]
MnSeCl3 after structural relaxation, computed with PBE-GGA.

Unit cell a=5.172 b=5.172 c=5.172 alpha=90.00 beta=90.00 gamma=90.00
Fractional coordinates of all 5 atoms:
Mn 0.000 0.000 0.000
Se 0.500 0.500 0.500
Cl 0.000 0.500 0.500
Cl 0.500 0.000 0.500
Cl 0.500 0.500 0.000

Output
Formation energy from raw total energies (eV per atom): 0.24
Magnetization (μB/atom): 1.15
Density (kg/m3): 2884
SG: Pm-3m

[6]
KMn3Fe after structural relaxation, computed with PBE-GGA.

Unit cell a=4.711 b=4.711 c=4.711 alpha=90.00 beta=90.00 gamma=90.00
Fractional coordinates of all 5 atoms:
K 0.000 0.000 0.000
Mn 0.000 0.500 0.500
Mn 0.500 0.000 0.500
Mn 0.500 0.500 0.000
Fe 0.500 0.500 0.500

Output
Energy of formation (eV/atom): 1.0317
Magnetization (μB/atom): 2.39
Density (kg/m3): 4126
Polymorph energy (0 for the lowest one) (kcal/mol of atoms): 0.00
SG: Pm-3m

[7]
B2C3 after structural relaxation, computed with PBE-GGA.

Unit cell a=11.603 b=11.603 c=11.603 alpha=12.55 beta=12.55 gamma=12.55
Fractional coordinates of all 10 atoms:
B 0.083 0.083 0.083
B 0.280 0.280 0.280
B 0.720 0.720 0.720
B 0.917 0.917 0.917
C 0.129 0.129 0.129
C 0.326 0.326 0.326
C 0.478 0.478 0.478
C 0.522 0.522 0.522
C 0.674 0.674 0.674
C 0.871 0.871 0.871

Output
Energy of formation (eV/atom): 0.3234
Magnetization (μB/atom): 0.00
Density (kg/m3): 2988
Polymorph energy (0 for the lowest one) (kcal/mol of atoms): 2.01
SG: R-3m

[8]
Mg2RhCl after structural relaxation, computed with PBE-GGA.

Unit cell a=4.666 b=4.666 c=4.666 alpha=60.00 beta=60.00 gamma=60.00
Fractional coordinates of all 4 atoms:
Mg 0.000 0.000 0.000
Mg 0.250 0.250 0.250
Rh 0.750 0.750 0.750
Cl 0.500 0.500 0.500

Output
Formation energy from raw total energies (eV per atom): -0.02
Magnetization (μB/atom): 0.00
Density (kg/m3): 4323
Polymorph energy (0 for the lowest one) (kcal/mol of atoms): 18.30
SG: F-43m

- Which value of density does entry 7 give?
  2988 kg/m3

- Among the records above, which one has the highest density?
  CeTm4Sc